Record 1
# TiBeOF2

TiBeOF2 after structural relaxation (PBE-GGA, Alexandria via LeMat-Bulk).

Cell lengths 3.2192, 3.2192, 4.5896 Å; angles 90.00, 90.00, 90.00 degrees
Space group P4/mmm (No. 123)
Inequivalent atoms, fractional coordinates:
Ti (0.0000, 0.0000, 0.0000) [1 per cell]
Be (0.5000, 0.5000, 0.5000) [1 per cell]
O (0.5000, 0.5000, 0.0000) [1 per cell]
F (0.0000, 0.5000, 0.5000) [2 per cell]

For the magnetic moment, the calculation gives 1.9 μB per cell. For the excess energy over the best structure of this formula in the dataset, the calculation gives 0 meV per atom. As for the total energy: -6.263 eV per atom.

Record 2
# Cr3Rh

Cr3Rh after structural relaxation (PBE-GGA, Alexandria via LeMat-Bulk).

Cell lengths 3.6750, 3.6750, 3.6750 Å; angles 90.00, 90.00, 90.00 degrees
Space group Pm-3m (No. 221)
Inequivalent atoms, fractional coordinates:
Cr (0.0000, 0.0000, 0.5000) [3 per cell]
Rh (0.5000, 0.5000, 0.5000) [1 per cell]

For the magnetic moment, the calculation gives 0.0 μB per cell. For the excess energy over the best structure of this formula in the dataset, the calculation gives 90 meV per atom. The calculation puts the formation energy at 133 meV per atom. As for the total energy: -8.922 eV per atom.

Record 3
# Na2Tl2O

Na2Tl2O after structural relaxation (PBE-GGA, Alexandria via LeMat-Bulk).

Cell lengths 6.2938, 6.2938, 6.6709 Å; angles 90.00, 90.00, 90.00 degrees
Space group P4/mbm (No. 127)
Inequivalent atoms, fractional coordinates:
Na (0.2147, 0.2853, 0.0000) [4 per cell]
Tl (0.1891, 0.6891, 0.5000) [4 per cell]
O (0.0000, 0.0000, 0.0000) [2 per cell]

For the magnetic moment, the calculation gives 0.0 μB per cell. For the excess energy over the best structure of this formula in the dataset, the calculation gives 0 meV per atom. As for the total energy: -2.879 eV per atom.

Record 4
# InCuBi2

InCuBi2 after structural relaxation (PBE-GGA, Alexandria via LeMat-Bulk).

Cell lengths 5.6061, 5.6061, 16.3926 Å; angles 90.00, 90.00, 90.00 degrees
Space group I-42d (No. 122)
Inequivalent atoms, fractional coordinates:
In (0.0000, 0.0000, 0.0000) [4 per cell]
Cu (0.0000, 0.0000, 0.5000) [4 per cell]
Bi (0.1786, 0.2500, 0.6250) [8 per cell]

For the magnetic moment, the calculation gives 0.0 μB per cell. The calculation puts the formation energy at 224 meV per atom. As for the total energy: -3.425 eV per atom.

What did the second record say?
# Cr3Rh

Cr3Rh after structural relaxation (PBE-GGA, Alexandria via LeMat-Bulk).

Cell lengths 3.6750, 3.6750, 3.6750 Å; angles 90.00, 90.00, 90.00 degrees
Space group Pm-3m (No. 221)
Inequivalent atoms, fractional coordinates:
Cr (0.0000, 0.0000, 0.5000) [3 per cell]
Rh (0.5000, 0.5000, 0.5000) [1 per cell]

For the magnetic moment, the calculation gives 0.0 μB per cell. For the excess energy over the best structure of this formula in the dataset, the calculation gives 90 meV per atom. The calculation puts the formation energy at 133 meV per atom. As for the total energy: -8.922 eV per atom.